# 1
VASP calculation (PBE) on a relaxed structure of Rb3Bi2Se4. Values from VASP.

The structure in Quantum ESPRESSO input format:
```
&SYSTEM
  ibrav = 0, nat = 9, ntyp = 3
/
ATOMIC_SPECIES
Rb 85.47 Rb.upf
Bi 208.98 Bi.upf
Se 78.96 Se.upf
CELL_PARAMETERS angstrom
5.6316 0.0000 0.0000
0.0000 7.0181 0.9968
-2.8158 -2.6260 9.0760
ATOMIC_POSITIONS crystal
Rb 0.8480 0.3988 0.6959
Rb 0.1520 0.6012 0.3041
Rb 0.0000 0.0000 0.0000
Bi 0.3358 0.9537 0.6716
Bi 0.6642 0.0463 0.3284
Se 0.4353 0.2548 0.8705
Se 0.8000 0.8635 0.6000
Se 0.5647 0.7452 0.1295
Se 0.2000 0.1365 0.4000
```

Values from the calculation:
- E_form (uncorrected) (eV per atom) = -0.699
- space-group type = C2/m (12)
- total energy (hartree per atom) = -0.12613



# 2
VASP calculation (PBE) on a relaxed structure of RbBiSe3. Values from VASP.

The structure in Quantum ESPRESSO input format:
```
&SYSTEM
  ibrav = 0, nat = 5, ntyp = 3
/
ATOMIC_SPECIES
Se 78.96 Se.upf
Bi 208.98 Bi.upf
Rb 85.47 Rb.upf
CELL_PARAMETERS angstrom
5.6070 0.0000 0.0000
0.0000 5.6070 0.0000
0.0000 0.0000 5.6070
ATOMIC_POSITIONS crystal
Se 0.0000 0.5000 0.0000
Se 0.0000 0.0000 0.5000
Se 0.5000 0.0000 0.0000
Bi 0.0000 0.0000 0.0000
Rb 0.5000 0.5000 0.5000
```

Values from the calculation:
- E_form (uncorrected) (eV per atom) = -0.254
- energy above the lowest structure with this stoichiometry (meV/atom) = 0
- space-group type = Pm-3m (221)
- total energy (hartree per atom) = -0.12180



# 3
VASP calculation (PBE) on a relaxed structure of RbBi5Se8. Values from VASP.

The structure in Quantum ESPRESSO input format:
```
&SYSTEM
  ibrav = 0, nat = 14, ntyp = 3
/
ATOMIC_SPECIES
Rb 85.47 Rb.upf
Bi 208.98 Bi.upf
Se 78.96 Se.upf
CELL_PARAMETERS angstrom
4.1527 0.0000 -0.8121
-0.5002 10.0329 -2.5576
0.0202 0.1355 11.1259
ATOMIC_POSITIONS crystal
Rb 0.5000 0.4984 0.0001
Bi 0.2957 0.6579 0.5913
Bi 0.7044 0.3423 0.4088
Bi 0.3456 0.0416 0.6912
Bi 0.6543 0.9585 0.3086
Bi 0.0000 0.0001 0.0000
Se 0.2309 0.1495 0.4618
Se 0.7691 0.8508 0.5381
Se 0.1662 0.4979 0.3325
Se 0.8338 0.5023 0.6676
Se 0.0801 0.8039 0.1601
Se 0.9199 0.1963 0.8397
Se 0.4240 0.8424 0.8481
Se 0.5760 0.1580 0.1519
```

Values from the calculation:
- E_form (uncorrected) (eV per atom) = -0.497
- space-group type = Cm (8)
- total energy (hartree per atom) = -0.14492



# 4
VASP calculation (PBE) on a relaxed structure of RbBi2Se4. Values from VASP.

The structure in Quantum ESPRESSO input format:
```
&SYSTEM
  ibrav = 0, nat = 14, ntyp = 3
/
ATOMIC_SPECIES
Rb 85.47 Rb.upf
Bi 208.98 Bi.upf
Se 78.96 Se.upf
CELL_PARAMETERS angstrom
4.2169 0.0000 0.0000
-2.1085 7.0741 0.0000
0.0000 0.0000 15.2400
ATOMIC_POSITIONS crystal
Rb 0.6028 0.2056 0.7500
Rb 0.3972 0.7944 0.2500
Bi 0.1378 0.2756 0.4370
Bi 0.8622 0.7244 0.9370
Bi 0.1378 0.2756 0.0630
Bi 0.8622 0.7244 0.5630
Se 0.7698 0.5397 0.1068
Se 0.7698 0.5397 0.3932
Se 0.2302 0.4603 0.8932
Se 0.2302 0.4603 0.6068
Se 0.9065 0.8131 0.7500
Se 0.0935 0.1869 0.2500
Se 0.5000 0.0000 0.0000
Se 0.5000 0.0000 0.5000
```

Values from the calculation:
- E_form (uncorrected) (eV per atom) = -0.470
- space-group type = Cmcm (63)
- total energy (hartree per atom) = -0.13627



# 5
VASP calculation (PBE) on a relaxed structure of RbBi2Se. Values from VASP.

The structure in Quantum ESPRESSO input format:
```
&SYSTEM
  ibrav = 0, nat = 8, ntyp = 3
/
ATOMIC_SPECIES
Se 78.96 Se.upf
Bi 208.98 Bi.upf
Rb 85.47 Rb.upf
CELL_PARAMETERS angstrom
-2.2190 -2.5156 -9.0318
5.4913 -7.8714 0.8433
-0.8822 -6.8352 -3.0183
ATOMIC_POSITIONS crystal
Se 0.5000 0.5000 0.0000
Se 0.2500 0.7500 0.5000
Bi 0.5561 0.1250 0.2500
Bi 0.1939 0.6250 0.2500
Bi 0.3750 0.4439 0.7500
Bi 0.8750 0.8061 0.7500
Rb 0.0000 0.0000 0.0000
Rb 0.7500 0.2500 0.5000
```

Values from the calculation:
- E_form (uncorrected) (eV per atom) = -0.118
- space-group type = I-42d (122)
- total energy (hartree per atom) = -0.11654



# 6
VASP calculation (PBE) on a relaxed structure of Rb2BiSe2. Values from VASP.

The structure in Quantum ESPRESSO input format:
```
&SYSTEM
  ibrav = 0, nat = 10, ntyp = 3
/
ATOMIC_SPECIES
Se 78.96 Se.upf
Bi 208.98 Bi.upf
Rb 85.47 Rb.upf
CELL_PARAMETERS angstrom
-8.0828 -1.6981 -0.3891
1.7338 -8.0211 -1.0112
-0.1033 -0.6512 4.9880
ATOMIC_POSITIONS crystal
Se 0.3240 0.8240 0.0000
Se 0.8240 0.6760 0.0000
Se 0.6760 0.1760 0.0000
Se 0.1760 0.3240 0.0000
Bi 0.0000 0.0000 0.0000
Bi 0.5000 0.5000 0.0000
Rb 0.1401 0.6401 0.5000
Rb 0.6401 0.8599 0.5000
Rb 0.8599 0.3599 0.5000
Rb 0.3599 0.1401 0.5000
```

Values from the calculation:
- E_form (uncorrected) (eV per atom) = -0.692
- energy above the lowest structure with this stoichiometry (meV/atom) = 77
- space-group type = P4/mbm (127)
- total energy (hartree per atom) = -0.11941



# 7
VASP calculation (PBE) on a relaxed structure of Rb2BiSe. Values from VASP.

The structure in Quantum ESPRESSO input format:
```
&SYSTEM
  ibrav = 0, nat = 8, ntyp = 3
/
ATOMIC_SPECIES
Se 78.96 Se.upf
Bi 208.98 Bi.upf
Rb 85.47 Rb.upf
CELL_PARAMETERS angstrom
12.0846 0.0000 0.0000
0.0000 12.0846 0.0000
6.0423 6.0423 2.9190
ATOMIC_POSITIONS crystal
Se 0.5000 0.5000 0.0000
Se 0.2500 0.7500 0.5000
Bi 0.0000 0.0000 0.0000
Bi 0.7500 0.2500 0.5000
Rb 0.4717 0.1250 0.2500
Rb 0.2783 0.6250 0.2500
Rb 0.3750 0.5283 0.7500
Rb 0.8750 0.7217 0.7500
```

Values from the calculation:
- E_form (uncorrected) (eV per atom) = -0.435
- energy above the lowest structure with this stoichiometry (meV/atom) = 0
- space-group type = I-42d (122)
- total energy (hartree per atom) = -0.10143



# 8
VASP calculation (PBE) on a relaxed structure of Rb3BiSe. Values from VASP.

The structure in Quantum ESPRESSO input format:
```
&SYSTEM
  ibrav = 0, nat = 5, ntyp = 3
/
ATOMIC_SPECIES
Se 78.96 Se.upf
Bi 208.98 Bi.upf
Rb 85.47 Rb.upf
CELL_PARAMETERS angstrom
6.5780 0.0000 0.0000
0.0000 6.5780 0.0000
0.0000 0.0000 6.5780
ATOMIC_POSITIONS crystal
Se 0.0000 0.0000 0.0000
Bi 0.5000 0.5000 0.5000
Rb 0.0000 0.5000 0.0000
Rb 0.0000 0.0000 0.5000
Rb 0.5000 0.0000 0.0000
```

Values from the calculation:
- E_form (uncorrected) (eV per atom) = -0.424
- energy above the lowest structure with this stoichiometry (meV/atom) = 247
- space-group type = Pm-3m (221)
- total energy (hartree per atom) = -0.09105



> Among the records above, which one has the lowest E_form (uncorrected)?

Rb3Bi2Se4



> Number 4 is which compound?

RbBi2Se4



> Number 5 is which compound?

RbBi2Se



> Among the records above, which one has the highest E_form (uncorrected)?

RbBi2Se